[1]
DFT (PBE) results for DyHfSc2Rh4 after structural relaxation.

CIF file:
```
data_DyHfSc2Rh4
_chemical_formula_sum 'Dy3 Hf3 Sc6 Rh12'
_space_group_name_H-M_alt 'R -3 m'
_space_group_IT_number 166
_space_group_name_Hall '-R 3 2"'
_cell_length_a 4.6471
_cell_length_b 4.6471
_cell_length_c 22.9382
_cell_angle_alpha 90.00
_cell_angle_beta 90.00
_cell_angle_gamma 120.00
loop_
_atom_site_label
_atom_site_type_symbol
_atom_site_fract_x
_atom_site_fract_y
_atom_site_fract_z
Dy1 Dy 0.0000 0.0000 0.0000
Hf1 Hf 0.0000 0.0000 0.5000
Sc1 Sc 0.0000 0.0000 0.2487
Rh1 Rh 0.0000 0.0000 0.1293
Rh2 Rh 0.0000 0.0000 0.3806
```

Results
- formation energy from the elements (eV per atom) = -0.95

=====

[2]
DFT (PBE) results for SrZrOs2 after structural relaxation.

CIF file:
```
data_SrZrOs2
_chemical_formula_sum 'Sr2 Zr2 Os4'
_space_group_name_H-M_alt 'C 1 2/m 1'
_space_group_IT_number 12
_cell_length_a 6.1308
_cell_length_b 9.2250
_cell_length_c 2.8877
_cell_angle_alpha 90.00
_cell_angle_beta 110.75
_cell_angle_gamma 90.00
loop_
_space_group_symop_operation_xyz
'x,y,z'
'-x,-y,-z'
'-x,y,-z'
'x,-y,z'
'x+1/2,y+1/2,z'
'-x+1/2,-y+1/2,-z'
'-x+1/2,y+1/2,-z'
'x+1/2,-y+1/2,z'
loop_
_atom_site_label
_atom_site_type_symbol
_atom_site_fract_x
_atom_site_fract_y
_atom_site_fract_z
Sr1 Sr 0.0000 0.0000 0.0000
Zr1 Zr 0.0000 0.5000 0.0000
Os1 Os 0.2500 0.2500 0.5000
```

Results
- energy relative to the lowest polymorph listed for this composition (meV per atom) = 458
- formation energy from the elements (eV per atom) = 0.74

=====

[3]
DFT (PBE) results for TcNi2Os after structural relaxation.

CIF file:
```
data_TcNi2Os
_chemical_formula_sum 'Tc2 Ni4 Os2'
_space_group_name_H-M_alt 'C m m 2'
_space_group_IT_number 35
_cell_length_a 2.7802
_cell_length_b 4.4063
_cell_length_c 8.6128
_cell_angle_alpha 90.00
_cell_angle_beta 90.00
_cell_angle_gamma 90.00
loop_
_space_group_symop_operation_xyz
'x,y,z'
'-x,-y,z'
'-x,y,z'
'x,-y,z'
'x+1/2,y+1/2,z'
'-x+1/2,-y+1/2,z'
'-x+1/2,y+1/2,z'
'x+1/2,-y+1/2,z'
loop_
_atom_site_label
_atom_site_type_symbol
_atom_site_fract_x
_atom_site_fract_y
_atom_site_fract_z
Tc1 Tc 0.0000 0.0000 0.0000
Ni1 Ni 0.0000 0.0000 0.5170
Ni2 Ni 0.0000 0.5000 0.7518
Os1 Os 0.0000 0.5000 0.2675
```

Results
- energy relative to the lowest polymorph listed for this composition (meV per atom) = 318
- formation energy from the elements (eV per atom) = 0.34

=====

[4]
DFT (PBE) results for KAg2Se6S2 after structural relaxation.

CIF file:
```
data_KAg2Se6S2
_chemical_formula_sum 'K1 Ag2 Se6 S2'
_space_group_name_H-M_alt 'P -1'
_space_group_IT_number 2
_cell_length_a 6.8489
_cell_length_b 7.6815
_cell_length_c 8.1530
_cell_angle_alpha 68.42
_cell_angle_beta 68.22
_cell_angle_gamma 66.40
loop_
_space_group_symop_operation_xyz
'x,y,z'
'-x,-y,-z'
loop_
_atom_site_label
_atom_site_type_symbol
_atom_site_fract_x
_atom_site_fract_y
_atom_site_fract_z
K1 K 0.0000 0.0000 0.0000
Ag1 Ag 0.0083 0.6942 0.6080
Se1 Se 0.1538 0.4651 0.0484
Se2 Se 0.2095 0.9347 0.3424
Se3 Se 0.2961 0.3715 0.5070
S1 S 0.4237 0.1881 0.7464
```

Results
- E_form (uncorrected) (meV per atom) = -106

=====

[5]
DFT (PBE) results for LiNdErCo after structural relaxation.

CIF file:
```
data_LiNdErCo
_chemical_formula_sum 'Li4 Nd4 Er4 Co4'
_space_group_name_H-M_alt 'F -4 3 m'
_space_group_IT_number 216
_space_group_name_Hall 'F -4 2 3'
_cell_length_a 6.9656
_cell_length_b 6.9656
_cell_length_c 6.9656
_cell_angle_alpha 90.00
_cell_angle_beta 90.00
_cell_angle_gamma 90.00
loop_
_atom_site_label
_atom_site_type_symbol
_atom_site_fract_x
_atom_site_fract_y
_atom_site_fract_z
Li1 Li 0.0000 0.0000 0.0000
Nd1 Nd 0.2500 0.2500 0.7500
Er1 Er 0.2500 0.2500 0.2500
Co1 Co 0.0000 0.0000 0.5000
```

Results
- formation energy from the elements (eV per atom) = -0.03

=====

[6]
DFT (PBE) results for Ta2AlZn2 after structural relaxation.

CIF file:
```
data_Ta2AlZn2
_chemical_formula_sum 'Ta4 Al2 Zn4'
_space_group_name_H-M_alt 'P 4/m b m'
_space_group_IT_number 127
_space_group_name_Hall '-P 4 2ab'
_cell_length_a 6.4349
_cell_length_b 6.4349
_cell_length_c 3.8807
_cell_angle_alpha 90.00
_cell_angle_beta 90.00
_cell_angle_gamma 90.00
loop_
_atom_site_label
_atom_site_type_symbol
_atom_site_fract_x
_atom_site_fract_y
_atom_site_fract_z
Ta1 Ta 0.1743 0.3257 0.0000
Al1 Al 0.0000 0.0000 0.5000
Zn1 Zn 0.1294 0.6294 0.5000
```

Results
- formation energy from the elements (eV per atom) = 0.09